[1]
The following is a DFT calculation (GGA-PBE) of crystalline RbSiNi2H at its relaxed geometry.

Calculated values
The volume comes out at 26.364 Å³/atom. As for the crystal system: tetragonal. Its raw total energy is -8.2 eV/f.u.

Lattice parameters (Å, degrees): 4.670 4.670 6.045 90.00 90.00 90.00
Space group P4/mmm (No. 123)
Asymmetric unit:
Rb 0.000 0.000 0.000 [1 per cell]
Si 0.000 0.000 0.500 [1 per cell]
Ni 0.000 0.500 0.000 [2 per cell]
H 0.500 0.500 0.500 [1 per cell]



[2]
The following is a DFT calculation (GGA-PBE) of crystalline Rb2SrNiH6 at its relaxed geometry.

Calculated values
The volume comes out at 19.845 Å³/atom. As for the crystal system: trigonal. Its raw total energy is -31.2 eV/f.u.

Lattice parameters (Å, degrees): 6.0832 6.0832 6.1923 90.00 90.00 120.00
Space group P-3m1 (No. 164)
Asymmetric unit:
Rb 0.3333 0.6667 0.1354 [2 per cell]
Sr 0.0000 0.0000 0.5000 [1 per cell]
Ni 0.0000 0.0000 0.0000 [1 per cell]
H 0.1208 0.2417 0.8493 [6 per cell]



[3]
The following is a DFT calculation (GGA-PBE) of crystalline Rb2SrNi3H12 at its relaxed geometry.

Calculated values
The volume comes out at 10.949 Å³/atom. As for the crystal system: trigonal. Its raw total energy is -64.3 eV/f.u.

Lattice parameters (Å, degrees): 6.5300 6.5300 16.0110 90.00 90.00 120.00
Space group R-3m (No. 166, hexagonal axes)
Asymmetric unit:
Rb 0.0000 0.0000 0.1078 [6 per cell]
Sr 0.0000 0.0000 0.5000 [3 per cell]
Ni 0.0000 0.5000 0.0000 [9 per cell]
H 0.0350 0.5175 0.9053 [18 per cell]
H 0.0972 0.5486 0.3258 [18 per cell]



[4]
The following is a DFT calculation (GGA-PBE) of crystalline RbTcNi2H at its relaxed geometry.

Calculated values
The volume comes out at 14.635 Å³/atom. As for the crystal system: tetragonal. Its raw total energy is -19.6 eV/f.u.

Lattice parameters (Å, degrees): 3.991 3.991 4.595 90.00 90.00 90.00
Space group P4/mmm (No. 123)
Asymmetric unit:
Rb 0.000 0.000 0.000 [1 per cell]
Tc 0.500 0.500 0.000 [1 per cell]
Ni 0.000 0.500 0.500 [2 per cell]
H 0.000 0.000 0.500 [1 per cell]



[5]
The following is a DFT calculation (GGA-PBE) of crystalline ReNiH at its relaxed geometry.

Calculated values
The volume comes out at 10.345 Å³/atom. For the energy above the most stable polymorph in this dataset, the calculation gives 191 meV per atom. As for the crystal system: orthorhombic. Its raw total energy is -20.8 eV/f.u.

Lattice parameters (Å, degrees): 5.330 2.734 8.519 90.00 90.00 90.00
Space group Pnma (No. 62)
Asymmetric unit:
Re 0.131 0.250 0.098 [4 per cell]
Ni 0.122 0.250 0.403 [4 per cell]
H 0.113 0.750 0.253 [4 per cell]



[6]
The following is a DFT calculation (GGA-PBE) of crystalline ReNiH at its relaxed geometry.

Calculated values
The volume comes out at 9.518 Å³/atom. For the energy above the most stable polymorph in this dataset, the calculation gives 34 meV per atom. As for the crystal system: monoclinic. Its raw total energy is -21.3 eV/f.u.

Lattice parameters (Å, degrees): 4.414 2.722 4.752 90.00 90.06 90.00
Space group Pm (No. 6)
Asymmetric unit:
Re 0.000 0.000 0.000 [1 per cell]
Re 0.496 0.500 0.828 [1 per cell]
Ni 0.509 0.000 0.354 [1 per cell]
Ni 0.989 0.500 0.517 [1 per cell]
H 0.140 0.000 0.372 [1 per cell]
H 0.717 0.500 0.188 [1 per cell]



[7]
The following is a DFT calculation (GGA-PBE) of crystalline ReNiH at its relaxed geometry.

Calculated values
The volume comes out at 9.404 Å³/atom. For the energy above the most stable polymorph in this dataset, the calculation gives 36 meV per atom. As for the crystal system: orthorhombic. Its raw total energy is -21.3 eV/f.u.

Lattice parameters (Å, degrees): 2.735 4.388 4.701 90.00 90.00 90.00
Space group Pmm2 (No. 25)
Asymmetric unit:
Re 0.000 0.000 0.000 [1 per cell]
Re 0.500 0.500 0.176 [1 per cell]
Ni 0.000 0.500 0.683 [1 per cell]
Ni 0.500 0.000 0.532 [1 per cell]
H 0.000 0.241 0.378 [2 per cell]



[8]
The following is a DFT calculation (GGA-PBE) of crystalline ReNiH at its relaxed geometry.

Calculated values
The volume comes out at 9.472 Å³/atom. For the energy above the most stable polymorph in this dataset, the calculation gives 96 meV per atom. As for the crystal system: orthorhombic. Its raw total energy is -21.1 eV/f.u.

Lattice parameters (Å, degrees): 4.908 4.250 5.449 90.00 90.00 90.00
Space group Pnma (No. 62)
Asymmetric unit:
Re 0.081 0.250 0.123 [4 per cell]
Ni 0.094 0.250 0.594 [4 per cell]
H 0.227 0.750 0.335 [4 per cell]



[9]
The following is a DFT calculation (GGA-PBE) of crystalline ReNi3H at its relaxed geometry.

Calculated values
The volume comes out at 10.020 Å³/atom. For the energy above the most stable polymorph in this dataset, the calculation gives 0 meV per atom. As for the crystal system: cubic. Its raw total energy is -31.9 eV/f.u.

Lattice parameters (Å, degrees): 3.686 3.686 3.686 90.00 90.00 90.00
Space group Pm-3m (No. 221)
Asymmetric unit:
Re 0.000 0.000 0.000 [1 per cell]
Ni 0.000 0.500 0.500 [3 per cell]
H 0.500 0.500 0.500 [1 per cell]



[10]
The following is a DFT calculation (GGA-PBE) of crystalline ReNiH at its relaxed geometry.

Calculated values
The volume comes out at 10.341 Å³/atom. For the energy above the most stable polymorph in this dataset, the calculation gives 172 meV per atom. As for the crystal system: orthorhombic. Its raw total energy is -20.9 eV/f.u.

Lattice parameters (Å, degrees): 2.820 15.829 2.779 90.00 90.00 90.00
Space group Cmcm (No. 63)
Asymmetric unit:
Re 0.000 0.195 0.250 [4 per cell]
Ni 0.000 0.436 0.250 [4 per cell]
H 0.000 0.114 0.750 [4 per cell]



[11]
The following is a DFT calculation (GGA-PBE) of crystalline ReNiH at its relaxed geometry.

Calculated values
The volume comes out at 9.587 Å³/atom. For the energy above the most stable polymorph in this dataset, the calculation gives 44 meV per atom. As for the crystal system: triclinic. Its raw total energy is -21.3 eV/f.u.

Lattice parameters (Å, degrees): 2.634 4.741 4.822 97.30 90.06 105.49
Space group P1 (No. 1)
Asymmetric unit:
Re 0.000 0.000 0.000 [1 per cell]
Re 0.225 0.490 0.781 [1 per cell]
Ni 0.503 0.003 0.531 [1 per cell]
Ni 0.720 0.480 0.262 [1 per cell]
H 0.144 0.323 0.405 [1 per cell]
H 0.927 0.848 0.347 [1 per cell]



[12]
The following is a DFT calculation (GGA-PBE) of crystalline ReNiH2 at its relaxed geometry.

Calculated values
The volume comes out at 8.040 Å³/atom. For the energy above the most stable polymorph in this dataset, the calculation gives 495 meV per atom. As for the crystal system: cubic. Its raw total energy is -22.0 eV/f.u.

Lattice parameters (Å, degrees): 5.048 5.048 5.048 90.00 90.00 90.00
Space group Fm-3m (No. 225)
Asymmetric unit:
Re 0.000 0.000 0.000 [4 per cell]
Ni 0.000 0.000 0.500 [4 per cell]
H 0.250 0.250 0.250 [8 per cell]